La3PaO7: relaxed, PBE-GGA. Values from VASP.

Geometry as Quantum ESPRESSO input:
```
&SYSTEM
  ibrav = 0, nat = 22, ntyp = 3
/
ATOMIC_SPECIES
La 138.91 La.upf
Pa 231.04 Pa.upf
O 16.00 O.upf
CELL_PARAMETERS angstrom
-4.524 4.995 1.604
-3.012 -6.210 0.599
2.324 -0.381 7.738
ATOMIC_POSITIONS angstrom
La -2.604 -0.797 4.970
La -3.770 -0.607 1.102
La -1.819 2.529 2.785
La -3.393 -4.124 7.158
La 0.138 -3.555 6.124
La -5.350 1.960 3.816
Pa 1.162 -0.190 3.869
Pa -7.535 -1.214 2.204
O -4.579 -2.547 5.722
O -1.661 1.120 0.798
O -5.085 0.235 5.522
O 0.901 -1.998 7.842
O -0.130 -1.829 4.418
O -6.111 0.403 2.097
O -0.635 0.951 4.223
O -3.548 -2.714 9.145
O -2.991 -2.156 2.906
O -2.221 0.562 7.036
O -3.391 0.810 3.172
O -1.821 -2.405 6.770
O -3.817 3.968 3.455
O -1.395 -5.563 6.487
```

Results
Formation energy from raw total energies, eV per atom: -3.60
Calculated volume, Å³/f.u.: 182.4
Crystal system: orthorhombic

Cd2RePb: relaxed, PBE-GGA. Values from VASP.

Geometry as Quantum ESPRESSO input:
```
&SYSTEM
  ibrav = 0, nat = 4, ntyp = 3
/
ATOMIC_SPECIES
Pb 207.20 Pb.upf
Re 186.21 Re.upf
Cd 112.41 Cd.upf
CELL_PARAMETERS angstrom
3.643 0.000 0.000
0.000 3.643 0.000
0.000 0.000 6.241
ATOMIC_POSITIONS angstrom
Pb 0.000 0.000 3.282
Re 1.821 1.821 4.686
Cd 0.000 0.000 6.195
Cd 1.821 1.821 1.438
```

Results
Calculated volume, Å³/f.u.: 82.8
Energy relative to the elements, eV per atom: 0.68
Crystal system: tetragonal

YBeSe3: relaxed, PBE-GGA. Values from VASP.

Geometry as Quantum ESPRESSO input:
```
&SYSTEM
  ibrav = 0, nat = 5, ntyp = 3
/
ATOMIC_SPECIES
Y 88.91 Y.upf
Be 9.01 Be.upf
Se 78.96 Se.upf
CELL_PARAMETERS angstrom
-5.150 -1.804 -0.363
1.704 -4.266 -2.968
0.696 -2.908 4.579
ATOMIC_POSITIONS angstrom
Y 0.000 0.000 0.000
Be -1.375 -4.489 0.624
Se 0.852 -2.133 -1.484
Se 0.348 -1.454 2.290
Se -2.575 -0.902 -0.181
```

Results
Formation energy from raw total energies, eV per atom: 0.21
Offset from the most stable computed form, kJ per mole of atoms: 83.0
Calculated volume, Å³/f.u.: 163.5
Crystal system: cubic

LiBrF2: relaxed, PBE-GGA. Values from VASP.

Geometry as Quantum ESPRESSO input:
```
&SYSTEM
  ibrav = 0, nat = 4, ntyp = 3
/
ATOMIC_SPECIES
Li 6.94 Li.upf
Br 79.90 Br.upf
F 19.00 F.upf
CELL_PARAMETERS angstrom
-4.884 -5.577 1.424
-2.807 -6.949 -0.903
-1.896 -6.908 2.381
ATOMIC_POSITIONS angstrom
Li 0.000 0.000 0.000
Br -4.793 -9.717 1.451
F -8.834 -17.909 2.674
F -0.753 -1.526 0.228
```

Results
Formation energy from raw total energies, eV per atom: -1.04
Offset from the most stable computed form, kJ per mole of atoms: 58.7
Calculated volume, Å³/f.u.: 73.3
Crystal system: trigonal

GeIr: relaxed, PBE-GGA. Values from VASP.

Geometry as Quantum ESPRESSO input:
```
&SYSTEM
  ibrav = 0, nat = 8, ntyp = 2
/
ATOMIC_SPECIES
Ge 72.64 Ge.upf
Ir 192.22 Ir.upf
CELL_PARAMETERS angstrom
-0.881 -2.775 4.190
4.740 0.954 1.628
-1.669 4.174 2.413
ATOMIC_POSITIONS angstrom
Ge 0.000 0.000 0.000
Ge 1.536 2.564 2.021
Ge -1.275 0.700 3.302
Ge 1.930 -0.910 2.909
Ir 1.095 1.176 4.116
Ir -0.440 -1.387 2.095
Ir 2.370 0.477 0.814
Ir -0.834 2.087 1.207
```

Results
Calculated volume, Å³/f.u.: 33.2
Energy relative to the elements, eV per atom: 0.22
Crystal system: cubic

Tb2YIn2: relaxed, PBE-GGA. Values from VASP.

Geometry as Quantum ESPRESSO input:
```
&SYSTEM
  ibrav = 0, nat = 10, ntyp = 3
/
ATOMIC_SPECIES
Tb 158.93 Tb.upf
Y 88.91 Y.upf
In 114.82 In.upf
CELL_PARAMETERS angstrom
3.727 0.000 -0.500
0.000 5.345 0.000
-0.016 0.000 14.052
ATOMIC_POSITIONS angstrom
Tb 0.177 4.009 1.321
Tb 3.534 1.336 12.231
Tb 0.876 4.009 6.541
Tb 2.835 1.336 7.011
Y 3.166 4.009 9.452
Y 0.545 1.336 4.100
In 2.391 4.009 3.713
In 1.320 1.336 9.839
In 1.662 4.009 12.421
In 2.049 1.336 1.131
```

Results
Offset from the most stable computed form, kJ per mole of atoms: 0.0
Calculated volume, Å³/f.u.: 140.0
Energy relative to the elements, eV per atom: -0.40
Crystal system: monoclinic

Q: Among the records above, which one has the lowest calculated volume?
A: GeIr

Q: calculated volume of number 5 (GeIr)?
A: 33.2 Å³/f.u.

Q: Which of these has the highest calculated volume?
A: La3PaO7